(1)
This record from Alexandria via LeMat-Bulk describes an optimized crystal structure of KPuO2. The functional is PBE.

## Properties
D(E_F)   1.0245 states/eV/atom
Formation energy (no corrections)   -231.3 kJ/mol of atoms
Calculated volume   69.4 Å³/f.u.

Cell lengths 3.568, 3.568, 12.587 Å; angles 90.00, 90.00, 120.00 degrees
Site moments in Bohr magnetons follow the coordinates.
Element x y z (fractional)
O1 0.667 0.333 0.907  -0.10
Pu1 0.000 0.000 0.000  5.00
O2 0.333 0.667 0.407  -0.10
O3 0.667 0.333 0.593  -0.10
K1 0.667 0.333 0.250  0.01
Pu2 0.000 0.000 0.500  5.00
K2 0.333 0.667 0.750  0.01
O4 0.333 0.667 0.093  -0.10



(2)
This record from Alexandria via LeMat-Bulk describes an optimized crystal structure of KTiSb2. The functional is PBE.

## Properties
D(E_F)   0.6791 states/eV/atom
Formation energy (no corrections)   9.2 kJ/mol of atoms
ΔE to the lowest computed polymorph   39.32 kJ per mole of atoms
Calculated volume   102.1 Å³/f.u.

Cell lengths 5.246, 5.246, 5.246 Å; angles 60.00, 60.00, 60.00 degrees
Element x y z (fractional)
Ti1 0.500 0.500 0.500
Sb1 0.250 0.250 0.250
Sb2 0.750 0.750 0.750
K1 0.000 0.000 0.000